# Bi6As4PbO20, optimized geometry, DFT PBE
# ΔE_f (raw) = -1.31 eV/atom
# space-group type = P-1 (2)
# magnetic moment = 0.00 μB per formula unit
data_Bi6As4PbO20
_chemical_formula_sum 'Bi6 As4 Pb1 O20'
_space_group_name_H-M_alt 'P 1'
_space_group_IT_number 1
_cell_length_a 7.2137
_cell_length_b 8.0053
_cell_length_c 9.4550
_cell_angle_alpha 106.38
_cell_angle_beta 94.31
_cell_angle_gamma 111.49
loop_
_space_group_symop_operation_xyz
'x,y,z'
loop_
_atom_site_label
_atom_site_type_symbol
_atom_site_fract_x
_atom_site_fract_y
_atom_site_fract_z
Bi1 Bi 0.0569 0.1978 0.4117
Bi2 Bi 0.1626 0.8756 0.9869
Bi3 Bi 0.3013 0.2882 0.8260
Bi4 Bi 0.6987 0.7118 0.1740
Bi5 Bi 0.8374 0.1244 0.0131
Bi6 Bi 0.9431 0.8022 0.5883
As1 As 0.1499 0.6021 0.2421
As2 As 0.4530 0.7274 0.7445
As3 As 0.5470 0.2726 0.2555
As4 As 0.8501 0.3979 0.7579
Pb1 Pb 0.5000 0.0000 0.5000
O1 O 0.0381 0.3807 0.8699
O2 O 0.0468 0.0231 0.8613
O3 O 0.1246 0.3693 0.1929
O4 O 0.1504 0.6905 0.4308
O5 O 0.1702 0.0916 0.6007
O6 O 0.2742 0.8260 0.7477
O7 O 0.3451 0.4827 0.6723
O8 O 0.3746 0.1759 0.3575
O9 O 0.3809 0.7484 0.2180
O10 O 0.4313 0.1932 0.0678
O11 O 0.5687 0.8068 0.9322
O12 O 0.6191 0.2516 0.7820
O13 O 0.6254 0.8241 0.6425
O14 O 0.6549 0.5173 0.3277
O15 O 0.7258 0.1740 0.2523
O16 O 0.8298 0.9084 0.3993
O17 O 0.8496 0.3095 0.5692
O18 O 0.8754 0.6307 0.8071
O19 O 0.9532 0.9769 0.1387
O20 O 0.9619 0.6193 0.1301